Cr2MoSe | PBE | optimized geometry

Summary:
- Total magnetic moment: 3.66 μB/cell
- Total DFT energy (no corrections): -7.95 eV/atom
- Raw formation energy: 442 meV per atom

Lattice parameters (Å, degrees): 5.2210 8.3503 2.8967 90.00 116.22 90.00
With the nearest neighbours (Å) after each atom.
Fractional positions:
Cr1 0.2500 0.2500 0.0000  2 Se 2.55, 2 Mo 2.55, 2 Cr 2.61
Cr2 0.2500 0.7500 0.0000  2 Se 2.55, 2 Mo 2.55, 2 Cr 2.61
Cr3 0.7500 0.2500 0.0000  2 Se 2.55, 2 Mo 2.55, 2 Cr 2.61
Cr4 0.7500 0.7500 0.0000  2 Mo 2.55, 2 Se 2.55, 2 Cr 2.61
Mo1 0.0000 0.0000 0.5000  4 Cr 2.55, 2 Se 2.61
Mo2 0.5000 0.5000 0.5000  4 Cr 2.55, 2 Se 2.61
Se1 0.0000 0.5000 0.5000  4 Cr 2.55, 2 Mo 2.61
Se2 0.5000 0.0000 0.5000  4 Cr 2.55, 2 Mo 2.61